Entry 1:
Ho3Mg3ZnHg2 | PBE | relaxed

Lattice parameters (Å, degrees): 7.776 7.776 4.076 90.00 90.00 120.00
Positions (direct):
Hg1 0.667 0.333 0.500
Hg2 0.333 0.667 0.500
Ho1 0.592 0.000 0.000
Ho2 0.408 0.408 0.000
Ho3 0.000 0.592 0.000
Mg1 0.244 0.000 0.500
Mg2 0.000 0.244 0.500
Mg3 0.756 0.756 0.500
Zn1 0.000 0.000 0.000

Computed properties:
- final energy (eV per cell) = -23.471
- magnetic moment (Bohr magnetons per cell) = 0.01
- theoretical density (g/cm3) = 8.0


Entry 2:
Ho3Mg3Zn2Hg | PBE | relaxed

Lattice parameters (Å, degrees): 7.615 7.615 4.145 90.00 90.00 120.00
Positions (direct):
Hg1 0.000 0.000 0.000
Ho1 0.584 0.000 0.000
Ho2 0.416 0.416 0.000
Ho3 0.000 0.584 0.000
Mg1 0.256 0.000 0.500
Mg2 0.000 0.256 0.500
Mg3 0.744 0.744 0.500
Zn1 0.667 0.333 0.500
Zn2 0.333 0.667 0.500

Computed properties:
- final energy (eV per cell) = -23.946
- magnetic moment (Bohr magnetons per cell) = 0.02
- theoretical density (g/cm3) = 7.2


Entry 3:
HoHgMo | PBE | relaxed

Lattice parameters (Å, degrees): 4.763 4.763 4.763 60.00 60.00 60.00
Positions (direct):
Hg1 0.000 0.000 0.000
Ho1 0.250 0.250 0.250
Mo1 0.750 0.750 0.750

Computed properties:
- final energy (eV per cell) = -13.494
- magnetic moment (Bohr magnetons per cell) = 2.36
- theoretical density (g/cm3) = 10.0


Entry 4:
NaHoHg6 | PBE | relaxed

Lattice parameters (Å, degrees): 6.637 6.637 5.102 90.00 90.00 120.00
Positions (direct):
Hg1 0.500 0.000 0.000
Hg2 0.500 0.500 0.000
Hg3 0.000 0.500 0.000
Hg4 0.334 0.167 0.500
Hg5 0.833 0.167 0.500
Hg6 0.833 0.666 0.500
Ho1 0.000 0.000 0.000
Na1 0.333 0.667 0.500

Computed properties:
- final energy (eV per cell) = -9.722
- magnetic moment (Bohr magnetons per cell) = 0.03
- theoretical density (g/cm3) = 11.9


Entry 5:
NaHoHg | PBE | relaxed

Lattice parameters (Å, degrees): 5.059 5.059 5.059 60.00 60.00 60.00
Positions (direct):
Hg1 0.750 0.750 0.750
Ho1 0.000 0.000 0.000
Na1 0.250 0.250 0.250

Computed properties:
- excess energy over the best structure of this formula in the dataset (meV per atom) = 0
- magnetic moment (Bohr magnetons per cell) = 0.02
- theoretical density (g/cm3) = 7.0


Entry 6:
NaHoHg | PBE | relaxed

Lattice parameters (Å, degrees): 4.888 4.888 4.888 60.00 60.00 60.00
Positions (direct):
Hg1 0.250 0.250 0.250
Ho1 0.750 0.750 0.750
Na1 0.000 0.000 0.000

Computed properties:
- excess energy over the best structure of this formula in the dataset (meV per atom) = 29
- magnetic moment (Bohr magnetons per cell) = 0.48
- theoretical density (g/cm3) = 7.8